Entry from the Alexandria database: a relaxed CuMo3N crystal (PBE).

a b c (Å): 4.475 4.475 4.475
angles (deg): 90.00 90.00 90.00
Element x y z (fractional)
Cu 0.000 0.000 0.000
N 0.500 0.500 0.500
Mo 0.500 0.000 0.000
Mo 0.000 0.500 0.000
Mo 0.000 0.000 0.500

Summary:
**E**: -6.2898 eV/atom